(1)
# Tl2ReSi (PBE-GGA, relaxed)
data_Tl2ReSi
_chemical_formula_sum 'Tl4 Re2 Si2'
_cell_length_a 3.044
_cell_length_b 4.790
_cell_length_c 12.646
_cell_angle_alpha 90.00
_cell_angle_beta 90.00
_cell_angle_gamma 90.00
_space_group_name_H-M_alt 'I m m 2'
_space_group_IT_number 44
loop_
_space_group_symop_operation_xyz
'x,y,z'
'-x,-y,z'
'-x,y,z'
'x,-y,z'
'x+1/2,y+1/2,z+1/2'
'-x+1/2,-y+1/2,z+1/2'
'-x+1/2,y+1/2,z+1/2'
'x+1/2,-y+1/2,z+1/2'
loop_
_atom_site_label
_atom_site_type_symbol
_atom_site_fract_x
_atom_site_fract_y
_atom_site_fract_z
_atom_site_occupancy
Tl1 Tl 0.000 0.000 0.000 1
Tl2 Tl 0.000 0.500 0.201 1
Re1 Re 0.000 0.500 0.724 1
Si1 Si 0.000 0.000 0.373 1
# Distance to the lowest polymorph of the same formula = 0.298 eV per atom
# Density = 11.22 g/cm³
# DFT total energy = -5.00 eV per atom
# Energy relative to the elements, uncorrected = 651 meV per atom
# Fermi-level density of states = 0.76 states/eV/atom

=====

(2)
# PrCuSi (PBE-GGA, relaxed)
data_PrCuSi
_chemical_formula_sum 'Pr4 Cu4 Si4'
_cell_length_a 6.377
_cell_length_b 6.377
_cell_length_c 6.377
_cell_angle_alpha 90.00
_cell_angle_beta 90.00
_cell_angle_gamma 90.00
_space_group_name_H-M_alt 'F -4 3 m'
_space_group_IT_number 216
_space_group_name_Hall 'F -4 2 3'
loop_
_atom_site_label
_atom_site_type_symbol
_atom_site_fract_x
_atom_site_fract_y
_atom_site_fract_z
_atom_site_occupancy
Pr1 Pr 0.000 0.000 0.000 1
Cu1 Cu 0.250 0.250 0.750 1
Si1 Si 0.000 0.000 0.500 1
# Density = 5.96 g/cm³
# DFT total energy = -5.17 eV per atom
# Energy relative to the elements, uncorrected = -399 meV per atom
# Fermi-level density of states = 0.25 states/eV/atom

=====

(3)
# NbGa2N2 (PBE-GGA, relaxed)
data_NbGa2N2
_chemical_formula_sum 'Nb2 Ga4 N4'
_cell_length_a 6.205
_cell_length_b 6.205
_cell_length_c 3.405
_cell_angle_alpha 90.00
_cell_angle_beta 90.00
_cell_angle_gamma 90.00
_space_group_name_H-M_alt 'P 4/m b m'
_space_group_IT_number 127
_space_group_name_Hall '-P 4 2ab'
loop_
_atom_site_label
_atom_site_type_symbol
_atom_site_fract_x
_atom_site_fract_y
_atom_site_fract_z
_atom_site_occupancy
Nb1 Nb 0.000 0.000 0.000 1
Ga1 Ga 0.134 0.366 0.500 1
N1 N 0.250 0.250 0.000 1
# Distance to the lowest polymorph of the same formula = 0.000 eV per atom
# Density = 6.60 g/cm³
# DFT total energy = -6.66 eV per atom
# Energy relative to the elements, uncorrected = -100 meV per atom
# Fermi-level density of states = 0.29 states/eV/atom

=====

(4)
# TbPm8Er4 (PBE-GGA, relaxed)
data_TbPm8Er4
_chemical_formula_sum 'Tb3 Pm24 Er12'
_cell_length_a 7.2715
_cell_length_b 7.2715
_cell_length_c 28.4836
_cell_angle_alpha 90.00
_cell_angle_beta 90.00
_cell_angle_gamma 120.00
_space_group_name_H-M_alt 'R -3 m'
_space_group_IT_number 166
_space_group_name_Hall '-R 3 2"'
loop_
_atom_site_label
_atom_site_type_symbol
_atom_site_fract_x
_atom_site_fract_y
_atom_site_fract_z
_atom_site_occupancy
Tb1 Tb 0.0000 0.0000 0.0000 1
Pm1 Pm 0.0000 0.0000 0.2864 1
Pm2 Pm 0.0314 0.5157 0.2644 1
Er1 Er 0.0000 0.0000 0.5000 1
Er2 Er 0.0000 0.5000 0.5000 1
# Density = 7.59 g/cm³
# DFT total energy = -4.49 eV per atom
# Formation energy from the elements = 0.195 eV/atom
# Fermi-level density of states = 1.01 states/eV/atom

=====

(5)
# Rb2PaCu2Se4 (PBE-GGA, relaxed)
data_Rb2PaCu2Se4
_chemical_formula_sum 'Rb4 Pa2 Cu4 Se8'
_cell_length_a 15.106
_cell_length_b 4.125
_cell_length_c 8.223
_cell_angle_alpha 90.00
_cell_angle_beta 108.90
_cell_angle_gamma 90.00
_space_group_name_H-M_alt 'C 1 2/m 1'
_space_group_IT_number 12
loop_
_space_group_symop_operation_xyz
'x,y,z'
'-x,-y,-z'
'-x,y,-z'
'x,-y,z'
'x+1/2,y+1/2,z'
'-x+1/2,-y+1/2,-z'
'-x+1/2,y+1/2,-z'
'x+1/2,-y+1/2,z'
loop_
_atom_site_label
_atom_site_type_symbol
_atom_site_fract_x
_atom_site_fract_y
_atom_site_fract_z
_atom_site_occupancy
Rb1 Rb 0.136 0.000 0.064 1
Pa1 Pa 0.000 0.000 0.500 1
Cu1 Cu 0.178 0.500 0.487 1
Se1 Se 0.021 0.500 0.268 1
Se2 Se 0.198 0.000 0.667 1
# Density = 5.79 g/cm³
# DFT total energy = -4.74 eV per atom
# Energy relative to the elements, uncorrected = -1007 meV per atom
# Fermi-level density of states = 0.53 states/eV/atom

=====

(6)
# Tb4CdRu (PBE-GGA, relaxed)
data_Tb4CdRu
_chemical_formula_sum 'Tb64 Cd16 Ru16'
_cell_length_a 13.650
_cell_length_b 13.650
_cell_length_c 13.650
_cell_angle_alpha 90.00
_cell_angle_beta 90.00
_cell_angle_gamma 90.00
_space_group_name_H-M_alt 'F -4 3 m'
_space_group_IT_number 216
_space_group_name_Hall 'F -4 2 3'
loop_
_atom_site_label
_atom_site_type_symbol
_atom_site_fract_x
_atom_site_fract_y
_atom_site_fract_z
_atom_site_occupancy
Tb1 Tb 0.000 0.000 0.188 1
Tb2 Tb 0.060 0.250 0.750 1
Tb3 Tb 0.096 0.096 0.404 1
Cd1 Cd 0.170 0.170 0.170 1
Ru1 Ru 0.111 0.111 0.611 1
# Distance to the lowest polymorph of the same formula = 0.000 eV per atom
# Density = 8.87 g/cm³
# DFT total energy = -5.12 eV per atom
# Formation energy from the elements = -0.330 eV/atom
# Fermi-level density of states = 1.15 states/eV/atom

=====

The records above give, respectively, magnetization values of 0.09, 0.00, 0.00, 0.00, 1.00, 0.00 μB/f.u..